1.
AlCd2Mo GGA-PBE relaxed; space group = No. 71; formation enthalpy at 0 K = 0.26 eV/atom
1.0
3.074 0.000 0.000
0.000 4.663 0.000
0.000 0.000 10.144
Al Cd Mo
2 4 2
Direct
0.000 0.000 0.000
0.500 0.500 0.500
0.000 0.500 0.249
0.000 0.500 0.751
0.500 0.000 0.251
0.500 0.000 0.749
0.000 0.000 0.500
0.500 0.500 0.000

2.
AlCd2Mo GGA-PBE relaxed; space group = No. 25; formation enthalpy at 0 K = 0.23 eV/atom
1.0
2.953 0.000 0.000
0.000 3.954 0.000
0.000 0.000 6.302
Al Cd Mo
1 2 1
Direct
0.000 0.000 0.000
0.000 0.000 0.551
0.500 0.500 0.286
0.500 0.500 0.820

3.
AlCd2Mo GGA-PBE relaxed; space group = No. 47; formation enthalpy at 0 K = 0.38 eV/atom
1.0
2.961 0.000 0.000
0.000 4.421 0.000
0.000 0.000 5.624
Al Cd Mo
1 2 1
Direct
0.000 0.000 0.000
0.500 0.500 0.255
0.500 0.500 0.745
0.000 0.000 0.500

4.
Al3CdMo GGA-PBE relaxed; space group = No. 221; relative energy among the computed polymorphs = 0.000 eV/f.u.; formation enthalpy at 0 K = 0.57 eV/atom
1.0
4.861 0.000 0.000
0.000 4.861 0.000
0.000 0.000 4.861
Al Cd Mo
3 1 1
Direct
0.000 0.000 0.500
0.000 0.500 0.000
0.500 0.000 0.000
0.500 0.500 0.500
0.000 0.000 0.000

5.
AlCd2Mo GGA-PBE relaxed; space group = No. 6; formation enthalpy at 0 K = 0.20 eV/atom
1.0
2.837 0.000 0.000
0.000 4.383 0.000
-1.399 0.000 5.899
Al Cd Mo
1 2 1
Direct
0.000 0.000 0.000
0.156 0.500 0.311
0.776 0.000 0.550
0.427 0.500 0.849

6.
AlCd2Mo GGA-PBE relaxed; space group = No. 8; formation enthalpy at 0 K = 0.26 eV/atom
1.0
9.580 0.000 0.000
0.000 2.884 0.000
-0.944 0.000 5.322
Al Cd Mo
2 4 2
Direct
0.000 0.000 0.000
0.500 0.500 0.000
0.248 0.000 0.694
0.490 0.000 0.454
0.748 0.500 0.694
0.990 0.500 0.454
0.240 0.500 0.173
0.740 0.000 0.173

7.
AlCd2Mo GGA-PBE relaxed; space group = No. 65; formation enthalpy at 0 K = 0.37 eV/atom
1.0
4.025 0.000 0.000
0.000 4.072 0.000
0.000 0.000 9.174
Al Cd Mo
2 4 2
Direct
0.000 0.000 0.000
0.500 0.500 0.000
0.000 0.500 0.258
0.000 0.500 0.742
0.500 0.000 0.258
0.500 0.000 0.742
0.000 0.000 0.500
0.500 0.500 0.500

8.
AlCd2Mo GGA-PBE relaxed; space group = No. 119; formation enthalpy at 0 K = 0.33 eV/atom
1.0
4.047 0.000 0.000
0.000 4.047 0.000
0.000 0.000 8.889
Al Cd Mo
2 4 2
Direct
0.000 0.000 0.000
0.500 0.500 0.500
0.000 0.000 0.500
0.000 0.500 0.750
0.500 0.000 0.250
0.500 0.500 0.000
0.000 0.500 0.250
0.500 0.000 0.750